CsMnB2F8 | GGA+U | optimized geometry

a b c (Å): 5.4263 5.4263 24.7809
angles (deg): 90.00 90.00 120.00
Space group R-3 (No. 148, hexagonal axes)
Asymmetric unit:
Cs 0.0000 0.0000 0.0000 x3
Mn 0.0000 0.0000 0.5000 x3
B 0.0000 0.0000 0.2481 x6
F 0.0000 0.0000 0.3055 x6
F 0.0134 0.2541 0.7705 x18

total DFT energy (no corrections): -205.6 eV per cell
theoretical density: 2.8 g cm⁻³